# 1
# RbGaTe2, optimized geometry, DFT PBE-GGA
# * uncorrected energy: -3.09 eV/atom
# * formation energy without anion corrections: -0.52 eV/atom
# * M_tot: 0.00 Bohr magnetons per cell
# * N(E_F): 0.64 states/eV/f.u.
# * calculated volume: 41.19 Å³/atom
data_RbGaTe2
_chemical_formula_sum 'Rb4 Ga4 Te8'
_cell_length_a 9.915
_cell_length_b 5.353
_cell_length_c 15.086
_cell_angle_alpha 90.00
_cell_angle_beta 124.61
_cell_angle_gamma 90.00
_symmetry_space_group_name_H-M 'P 1 21/c 1'
_symmetry_Int_Tables_number 14
loop_
_symmetry_equiv_pos_as_xyz
'x,y,z'
'-x,-y,-z'
'-x,y+1/2,-z+1/2'
'x,-y+1/2,z+1/2'
loop_
_atom_site_label
_atom_site_fract_x
_atom_site_fract_y
_atom_site_fract_z
Rb1 0.215 0.123 0.428
Ga1 0.390 0.014 0.254
Te1 0.078 0.157 0.092
Te2 0.427 0.518 0.332

---

# 2
# SrLi9Ag2, optimized geometry, DFT PBE-GGA
# * uncorrected energy: -2.15 eV/atom
# * M_tot: 0.00 Bohr magnetons per cell
# * N(E_F): 6.17 states/eV/f.u.
# * calculated volume: 21.11 Å³/atom
data_SrLi9Ag2
_chemical_formula_sum 'Sr4 Li36 Ag8'
_cell_length_a 11.562
_cell_length_b 11.562
_cell_length_c 7.580
_cell_angle_alpha 90.00
_cell_angle_beta 90.00
_cell_angle_gamma 90.00
_symmetry_space_group_name_H-M 'I 41/a m d'
_symmetry_Int_Tables_number 141
loop_
_symmetry_equiv_pos_as_xyz
'x,y,z'
'-x,-y,-z'
'-y+1/4,x+3/4,z+1/4'
'y+1/4,-x+3/4,-z+1/4'
'-x+1/2,-y,z+1/2'
'x+1/2,y,-z+1/2'
'y+1/4,-x+1/4,z+3/4'
'-y+1/4,x+1/4,-z+3/4'
'x,-y,-z'
'-x,y,z'
'-y+1/4,-x+1/4,-z+3/4'
'y+1/4,x+1/4,z+3/4'
'-x+1/2,y,-z+1/2'
'x+1/2,-y,z+1/2'
'y+1/4,x+3/4,-z+1/4'
'-y+1/4,-x+3/4,z+1/4'
'x+1/2,y+1/2,z+1/2'
'-x+1/2,-y+1/2,-z+1/2'
'-y+3/4,x+1/4,z+3/4'
'y+3/4,-x+1/4,-z+3/4'
'-x,-y+1/2,z'
'x,y+1/2,-z'
'y+3/4,-x+3/4,z+1/4'
'-y+3/4,x+3/4,-z+1/4'
'x+1/2,-y+1/2,-z+1/2'
'-x+1/2,y+1/2,z+1/2'
'-y+3/4,-x+3/4,-z+1/4'
'y+3/4,x+3/4,z+1/4'
'-x,y+1/2,-z'
'x,-y+1/2,z'
'y+3/4,x+1/4,-z+3/4'
'-y+3/4,-x+1/4,z+3/4'
loop_
_atom_site_label
_atom_site_fract_x
_atom_site_fract_y
_atom_site_fract_z
Sr1 0.000 0.250 0.375
Li1 0.000 0.250 0.875
Li2 0.123 0.049 0.694
Ag1 0.000 0.000 0.000

---

# 3
# HRh2Pb, optimized geometry, DFT PBE-GGA
# * uncorrected energy: -5.38 eV/atom
# * M_tot: 0.00 Bohr magnetons per cell
# * ΔE to the lowest computed polymorph: 0.050 eV per atom
# * N(E_F): 3.82 states/eV/f.u.
# * calculated volume: 14.95 Å³/atom
data_HRh2Pb
_chemical_formula_sum 'H4 Rh8 Pb4'
_cell_length_a 5.521
_cell_length_b 5.521
_cell_length_c 7.850
_cell_angle_alpha 90.00
_cell_angle_beta 90.00
_cell_angle_gamma 90.00
_symmetry_space_group_name_H-M 'I -4 2 d'
_symmetry_Int_Tables_number 122
_symmetry_space_group_name_Hall 'I -4 2bw'
loop_
_atom_site_label
_atom_site_fract_x
_atom_site_fract_y
_atom_site_fract_z
H1 0.000 0.000 0.000
Rh1 0.081 0.250 0.125
Pb1 0.000 0.000 0.500

---

# 4
# InCuSe2, optimized geometry, DFT PBE-GGA
# * uncorrected energy: -3.72 eV/atom
# * formation energy without anion corrections: -0.27 eV/atom
# * M_tot: 0.00 Bohr magnetons per cell
# * N(E_F): 1.55 states/eV/f.u.
# * calculated volume: 21.03 Å³/atom
data_InCuSe2
_chemical_formula_sum 'In2 Cu2 Se4'
_cell_length_a 6.959
_cell_length_b 3.817
_cell_length_c 6.837
_cell_angle_alpha 90.00
_cell_angle_beta 112.11
_cell_angle_gamma 90.00
_symmetry_space_group_name_H-M 'C 1 2/m 1'
_symmetry_Int_Tables_number 12
loop_
_symmetry_equiv_pos_as_xyz
'x,y,z'
'-x,-y,-z'
'-x,y,-z'
'x,-y,z'
'x+1/2,y+1/2,z'
'-x+1/2,-y+1/2,-z'
'-x+1/2,y+1/2,-z'
'x+1/2,-y+1/2,z'
loop_
_atom_site_label
_atom_site_fract_x
_atom_site_fract_y
_atom_site_fract_z
In1 0.000 0.000 0.000
Cu1 0.000 0.500 0.500
Se1 0.218 0.000 0.727

---

# 5
# MgTl, optimized geometry, DFT PBE-GGA
# * uncorrected energy: -2.00 eV/atom
# * M_tot: 0.00 Bohr magnetons per cell
# * N(E_F): 0.77 states/eV/f.u.
# * calculated volume: 25.28 Å³/atom
data_MgTl
_chemical_formula_sum 'Mg4 Tl4'
_cell_length_a 11.452
_cell_length_b 3.557
_cell_length_c 5.244
_cell_angle_alpha 90.00
_cell_angle_beta 108.74
_cell_angle_gamma 90.00
_symmetry_space_group_name_H-M 'C 1 2/m 1'
_symmetry_Int_Tables_number 12
loop_
_symmetry_equiv_pos_as_xyz
'x,y,z'
'-x,-y,-z'
'-x,y,-z'
'x,-y,z'
'x+1/2,y+1/2,z'
'-x+1/2,-y+1/2,-z'
'-x+1/2,y+1/2,-z'
'x+1/2,-y+1/2,z'
loop_
_atom_site_label
_atom_site_fract_x
_atom_site_fract_y
_atom_site_fract_z
Mg1 0.128 0.000 0.317
Tl1 0.120 0.500 0.813

---

# 6
# NaLa2InIr, optimized geometry, DFT PBE-GGA
# * uncorrected energy: -4.89 eV/atom
# * M_tot: 0.00 Bohr magnetons per cell
# * ΔE to the lowest computed polymorph: 0.000 eV per atom
# * N(E_F): 4.98 states/eV/f.u.
# * calculated volume: 33.33 Å³/atom
data_NaLa2InIr
_chemical_formula_sum 'Na1 La2 In1 Ir1'
_cell_length_a 5.610
_cell_length_b 5.610
_cell_length_c 5.295
_cell_angle_alpha 90.00
_cell_angle_beta 90.00
_cell_angle_gamma 90.00
_symmetry_space_group_name_H-M 'P 4/m m m'
_symmetry_Int_Tables_number 123
_symmetry_space_group_name_Hall '-P 4 2'
loop_
_atom_site_label
_atom_site_fract_x
_atom_site_fract_y
_atom_site_fract_z
Na1 0.000 0.000 0.000
La1 0.000 0.500 0.500
In1 0.500 0.500 0.000
Ir1 0.500 0.500 0.500

---

# 7
# Au3Br, optimized geometry, DFT PBE-GGA
# * uncorrected energy: -2.51 eV/atom
# * formation energy without anion corrections: 0.37 eV/atom
# * M_tot: 0.00 Bohr magnetons per cell
# * ΔE to the lowest computed polymorph: 0.259 eV per atom
# * N(E_F): 0.60 states/eV/f.u.
# * calculated volume: 19.93 Å³/atom
data_Au3Br
_chemical_formula_sum 'Au9 Br3'
_cell_length_a 9.8760
_cell_length_b 9.8760
_cell_length_c 2.8311
_cell_angle_alpha 90.00
_cell_angle_beta 90.00
_cell_angle_gamma 120.00
_symmetry_space_group_name_H-M 'R -3 m'
_symmetry_Int_Tables_number 166
_symmetry_space_group_name_Hall '-R 3 2"'
loop_
_atom_site_label
_atom_site_fract_x
_atom_site_fract_y
_atom_site_fract_z
Au1 0.0000 0.5000 0.0000
Br1 0.0000 0.0000 0.0000

---

# 8
# Pm3Sm2Sn3, optimized geometry, DFT PBE-GGA
# * uncorrected energy: -5.17 eV/atom
# * M_tot: 0.00 Bohr magnetons per cell
# * N(E_F): 7.99 states/eV/f.u.
# * calculated volume: 31.06 Å³/atom
data_Pm3Sm2Sn3
_chemical_formula_sum 'Pm6 Sm4 Sn6'
_cell_length_a 9.2132
_cell_length_b 9.2132
_cell_length_c 6.7606
_cell_angle_alpha 90.00
_cell_angle_beta 90.00
_cell_angle_gamma 120.00
_symmetry_space_group_name_H-M 'P 63/m c m'
_symmetry_Int_Tables_number 193
_symmetry_space_group_name_Hall '-P 6c 2'
loop_
_atom_site_label
_atom_site_fract_x
_atom_site_fract_y
_atom_site_fract_z
Pm1 0.0000 0.2410 0.2500
Sm1 0.3333 0.6667 0.0000
Sn1 0.0000 0.3949 0.7500

---

# 9
# Tb3Ce4PmTe8, optimized geometry, DFT PBE-GGA
# * uncorrected energy: -5.58 eV/atom
# * formation energy without anion corrections: -1.36 eV/atom
# * M_tot: 14.79 Bohr magnetons per cell
# * N(E_F): 30.37 states/eV/f.u.
# * calculated volume: 31.02 Å³/atom
data_Tb3Ce4PmTe8
_chemical_formula_sum 'Tb9 Ce12 Pm3 Te24'
_cell_length_a 8.8341
_cell_length_b 8.8341
_cell_length_c 22.0326
_cell_angle_alpha 90.00
_cell_angle_beta 90.00
_cell_angle_gamma 120.00
_symmetry_space_group_name_H-M 'R -3 m'
_symmetry_Int_Tables_number 166
_symmetry_space_group_name_Hall '-R 3 2"'
loop_
_atom_site_label
_atom_site_fract_x
_atom_site_fract_y
_atom_site_fract_z
Tb1 0.0000 0.5000 0.0000
Ce1 0.0000 0.0000 0.5000
Ce2 0.0000 0.5000 0.5000
Pm1 0.0000 0.0000 0.0000
Te1 0.0000 0.0000 0.2533
Te2 0.0037 0.5018 0.2524

---

# 10
# MnHPd3, optimized geometry, DFT PBE-GGA
# * uncorrected energy: -5.76 eV/atom
# * M_tot: 17.97 Bohr magnetons per cell
# * ΔE to the lowest computed polymorph: 0.090 eV per atom
# * N(E_F): 1.82 states/eV/f.u.
# * calculated volume: 12.68 Å³/atom
data_MnHPd3
_chemical_formula_sum 'Mn4 H4 Pd12'
_cell_length_a 9.093
_cell_length_b 3.954
_cell_length_c 7.838
_cell_angle_alpha 90.00
_cell_angle_beta 115.83
_cell_angle_gamma 90.00
_symmetry_space_group_name_H-M 'C 1 m 1'
_symmetry_Int_Tables_number 8
loop_
_symmetry_equiv_pos_as_xyz
'x,y,z'
'x,-y,z'
'x+1/2,y+1/2,z'
'x+1/2,-y+1/2,z'
loop_
_atom_site_label
_atom_site_fract_x
_atom_site_fract_y
_atom_site_fract_z
Mn1 0.000 0.000 0.000
Mn2 0.236 0.000 0.855
H1 0.007 0.500 0.513
H2 0.273 0.000 0.150
Pd1 0.245 0.500 0.631
Pd2 0.246 0.000 0.370
Pd3 0.248 0.500 0.105
Pd4 0.488 0.000 0.757
Pd5 0.496 0.500 0.499
Pd6 0.497 0.000 0.230

---

# 11
# Cs4PmI7, optimized geometry, DFT PBE-GGA
# * uncorrected energy: -3.08 eV/atom
# * formation energy without anion corrections: -1.49 eV/atom
# * M_tot: 0.00 Bohr magnetons per cell
# * N(E_F): 0.00 states/eV/f.u.
# * calculated volume: 56.99 Å³/atom
data_Cs4PmI7
_chemical_formula_sum 'Cs8 Pm2 I14'
_cell_length_a 19.364
_cell_length_b 6.328
_cell_length_c 13.262
_cell_angle_alpha 90.00
_cell_angle_beta 122.69
_cell_angle_gamma 90.00
_symmetry_space_group_name_H-M 'C 1 2/m 1'
_symmetry_Int_Tables_number 12
loop_
_symmetry_equiv_pos_as_xyz
'x,y,z'
'-x,-y,-z'
'-x,y,-z'
'x,-y,z'
'x+1/2,y+1/2,z'
'-x+1/2,-y+1/2,-z'
'-x+1/2,y+1/2,-z'
'x+1/2,-y+1/2,z'
loop_
_atom_site_label
_atom_site_fract_x
_atom_site_fract_y
_atom_site_fract_z
Cs1 0.071 0.000 0.260
Cs2 0.228 0.000 0.836
Pm1 0.000 0.500 0.500
I1 0.000 0.000 0.500
I2 0.074 0.500 0.771
I3 0.141 0.000 0.045
I4 0.171 0.500 0.535

---

# 12
# PmGdMgHg, optimized geometry, DFT PBE-GGA
# * uncorrected energy: -5.47 eV/atom
# * M_tot: 31.92 Bohr magnetons per cell
# * N(E_F): 4.17 states/eV/f.u.
# * calculated volume: 27.49 Å³/atom
data_PmGdMgHg
_chemical_formula_sum 'Pm4 Gd4 Mg4 Hg4'
_cell_length_a 7.605
_cell_length_b 7.605
_cell_length_c 7.605
_cell_angle_alpha 90.00
_cell_angle_beta 90.00
_cell_angle_gamma 90.00
_symmetry_space_group_name_H-M 'F -4 3 m'
_symmetry_Int_Tables_number 216
_symmetry_space_group_name_Hall 'F -4 2 3'
loop_
_atom_site_label
_atom_site_fract_x
_atom_site_fract_y
_atom_site_fract_z
Pm1 0.000 0.000 0.000
Gd1 0.000 0.000 0.500
Mg1 0.250 0.250 0.250
Hg1 0.250 0.250 0.750